1.
Material: CaSi2H
Method: DFT, PBE-GGA
State: relaxed

Unit cell a=4.1717 b=4.4488 c=7.7580 alpha=90.00 beta=113.44 gamma=90.00
Space group Pc (No. 7)
One atom of each set of equivalent atoms:
Ca 0.0000 0.0122 0.0000 [2 per cell]
Si 0.3116 0.4805 0.3337 [2 per cell]
Si 0.6725 0.4559 0.6643 [2 per cell]
H 0.6792 0.0834 0.6724 [2 per cell]

Output
For the offset from the most stable computed form, the calculation gives 0.33 eV per formula unit.



2.
Material: Np4Ta3NbC8
Method: DFT, PBE-GGA
State: relaxed

Unit cell a=6.5141 b=6.5141 c=16.8259 alpha=90.00 beta=90.00 gamma=120.00
Space group R-3m (No. 166, hexagonal axes)
One atom of each set of equivalent atoms:
Np 0.0000 0.0000 0.0000 [3 per cell]
Np 0.0000 0.5000 0.0000 [9 per cell]
Ta 0.0000 0.5000 0.5000 [9 per cell]
Nb 0.0000 0.0000 0.5000 [3 per cell]
C 0.0000 0.0000 0.2417 [6 per cell]
C 0.0027 0.5013 0.7576 [18 per cell]

Output
Its formation energy is -0.34 eV/atom.



3.
Material: MnV2Ni7As2
Method: DFT, PBE-GGA
State: relaxed

Unit cell a=5.0454 b=5.0451 c=11.6033 alpha=90.00 beta=90.12 gamma=90.00
Space group C2/m (No. 12)
One atom of each set of equivalent atoms:
Mn 0.0000 0.0000 0.0000 [2 per cell]
V 0.0011 0.5000 0.3262 [4 per cell]
Ni 0.0000 0.5000 0.0000 [2 per cell]
Ni 0.2474 0.0000 0.4995 [4 per cell]
Ni 0.2493 0.2501 0.8446 [8 per cell]
As 0.0009 0.0000 0.3021 [4 per cell]

Output
Its formation energy is -0.14 eV/atom.



4.
Material: Na2La2Te
Method: DFT, PBE-GGA
State: relaxed

Unit cell a=8.0257 b=8.0257 c=6.1201 alpha=90.00 beta=90.00 gamma=90.00
Space group P4/mbm (No. 127)
One atom of each set of equivalent atoms:
Na 0.1603 0.3397 0.0000 [4 per cell]
La 0.1366 0.6366 0.5000 [4 per cell]
Te 0.0000 0.0000 0.5000 [2 per cell]

Output
The formation energy (no corrections) is -286 meV/atom.



5.
Material: K2TmGaI6
Method: DFT, PBE-GGA
State: relaxed

Unit cell a=8.5239 b=8.5239 c=21.6319 alpha=90.00 beta=90.00 gamma=120.00
Space group R3 (No. 146, hexagonal axes)
One atom of each set of equivalent atoms:
K 0.0000 0.0000 0.0000 [3 per cell]
K 0.0000 0.0000 0.4910 [3 per cell]
Tm 0.0000 0.0000 0.7017 [3 per cell]
Ga 0.0000 0.0000 0.2076 [3 per cell]
I 0.0158 0.4097 0.4462 [9 per cell]
I 0.0761 0.7169 0.2849 [9 per cell]

Output
The formation energy (no corrections) is -1205 meV/atom.



6.
Material: ScGaNi6
Method: DFT, PBE-GGA
State: relaxed

Unit cell a=4.6352 b=4.6352 c=4.6352 alpha=90.00 beta=90.00 gamma=90.00
Space group Pm-3 (No. 200)
One atom of each set of equivalent atoms:
Sc 0.0000 0.0000 0.0000 [1 per cell]
Ga 0.5000 0.5000 0.5000 [1 per cell]
Ni 0.0000 0.2542 0.5000 [6 per cell]

Output
Its formation energy is -0.15 eV/atom. For the offset from the most stable computed form, the calculation gives 1.54 eV per formula unit.



7.
Material: CrGaAu14
Method: DFT, PBE-GGA
State: relaxed

Unit cell a=9.5417 b=5.9910 c=10.0017 alpha=90.00 beta=90.00 gamma=90.00
Space group Amm2 (No. 38)
One atom of each set of equivalent atoms:
Cr 0.0000 0.0000 0.0000 [2 per cell]
Ga 0.0000 0.0000 0.5036 [2 per cell]
Au 0.0000 0.2484 0.2532 [4 per cell]
Au 0.2406 0.2492 0.5737 [8 per cell]
Au 0.2483 0.0000 0.8273 [4 per cell]
Au 0.2501 0.0000 0.3250 [4 per cell]
Au 0.5000 0.0000 0.1529 [2 per cell]
Au 0.5000 0.0000 0.6537 [2 per cell]
Au 0.5000 0.2494 0.4057 [4 per cell]

Output
Its formation energy is 0.01 eV/atom.